# 1
First-principles (GGA-PBE) data for crystalline NaYHfPd at its relaxed geometry, as listed in OQMD via LeMat-Bulk.

Cell and atoms, written as POSCAR:
```
NaYHfPd
1.0
0.0000 3.4896 3.4896
3.4896 0.0000 3.4896
3.4896 3.4896 0.0000
Na Y Hf Pd
1 1 1 1
direct
0.0000 0.0000 0.0000
0.7500 0.7500 0.7500
0.5000 0.5000 0.5000
0.2500 0.2500 0.2500
```

Properties
Relative energy among the computed polymorphs ... 166 meV/atom
Electronic total energy ... -5.479 eV per atom
Size of the total moment ... 0.138 μB per formula unit

# 2
First-principles (GGA-PBE) data for crystalline AcTaIn at its relaxed geometry, as listed in OQMD via LeMat-Bulk.

Cell and atoms, written as POSCAR:
```
AcTaIn
1.0
0.0000 3.5954 3.5954
3.5954 0.0000 3.5954
3.5954 3.5954 0.0000
Ac Ta In
1 1 1
direct
0.0000 0.0000 0.0000
0.7500 0.7500 0.7500
0.5000 0.5000 0.5000
```

Properties
Relative energy among the computed polymorphs ... 0 meV/atom
Electronic total energy ... -5.401 eV per atom
Size of the total moment ... 2.868 μB per formula unit

# 3
First-principles (GGA-PBE) data for crystalline Nb3GeB2 at its relaxed geometry, as listed in OQMD via LeMat-Bulk.

Cell and atoms, written as POSCAR:
```
Nb3GeB2
1.0
3.2800 0.0000 0.0000
-1.6400 2.8406 0.0000
0.0000 0.0000 18.2517
Nb Ge B
6 2 4
direct
0.0000 0.0000 0.0000
0.0000 0.0000 0.5000
0.3333 0.6667 0.1406
0.3333 0.6667 0.3594
0.6667 0.3333 0.6406
0.6667 0.3333 0.8594
0.0000 0.0000 0.2500
0.0000 0.0000 0.7500
0.3333 0.6667 0.5738
0.3333 0.6667 0.9262
0.6667 0.3333 0.0738
0.6667 0.3333 0.4262
```

Properties
Electronic total energy ... -8.604 eV per atom
Size of the total moment ... 0.001 μB per formula unit

# 4
First-principles (GGA-PBE) data for crystalline DyHoTe2F2 at its relaxed geometry, as listed in OQMD via LeMat-Bulk.

Cell and atoms, written as POSCAR:
```
DyHoTe2F2
1.0
4.0068 0.0000 0.0000
0.0000 4.0068 0.0000
0.0000 0.0000 7.3724
Dy Ho Te F
1 1 2 2
direct
0.0000 0.0000 0.0000
0.5000 0.5000 0.6040
0.0000 0.0000 0.4416
0.5000 0.5000 0.1639
0.0000 0.5000 0.8015
0.5000 0.0000 0.8015
```

Properties
Electronic total energy ... -5.711 eV per atom
Size of the total moment ... 0.001 μB per formula unit